First-principles (PBE) data for a relaxed TbPr3Dy2Ho6 crystal, as listed in the Alexandria database.

Calculated values
As for the density of states at the Fermi level: 30.43 states/eV per cell. For the total moment, the calculation gives 0.00 Bohr magnetons per cell. The calculation puts the energy of formation at 19 meV per atom.

a = 6.208 Å, b = 10.747 Å, c = 11.807 Å
α = 90.00°, β = 100.06°, γ = 90.00°
Space group C2/m (No. 12)
Symmetry-distinct sites (fractional):
Tb1 0.000 0.000 0.000
Pr1 0.000 0.167 0.500
Pr2 0.000 0.500 0.500
Dy1 0.000 0.333 0.000
Ho1 0.248 0.500 0.246
Ho2 0.249 0.167 0.246

First-principles (PBE) data for a relaxed Tb2PrDy2Ho crystal, as listed in the Alexandria database.

Calculated values
As for the density of states at the Fermi level: 17.74 states/eV per cell. For the total moment, the calculation gives 0.00 Bohr magnetons per cell. The calculation puts the energy of formation at 66 meV per atom.

a = 6.963 Å, b = 9.821 Å, c = 5.630 Å
α = 90.00°, β = 90.00°, γ = 90.00°
Space group Pnnm (No. 58)
Symmetry-distinct sites (fractional):
Tb1 0.248 0.166 0.000
Pr1 0.000 0.500 0.000
Dy1 0.249 0.833 0.000
Ho1 0.000 0.000 0.500

First-principles (PBE) data for a relaxed Tb2PrDyHo6 crystal, as listed in the Alexandria database.

Calculated values
As for the density of states at the Fermi level: 58.42 states/eV per cell. For the total moment, the calculation gives 0.00 Bohr magnetons per cell. The calculation puts the energy of formation at 121 meV per atom.

a = 9.057 Å, b = 15.020 Å, c = 9.544 Å
α = 90.00°, β = 97.28°, γ = 90.00°
Space group C2/c (No. 15)
Symmetry-distinct sites (fractional):
Tb1 0.250 0.053 0.046
Pr1 0.000 0.024 0.750
Dy1 0.000 0.409 0.250
Ho1 0.064 0.188 0.443
Ho2 0.100 0.392 0.619
Ho3 0.207 0.226 0.817

First-principles (PBE) data for a relaxed TbPr4DyHo2 crystal, as listed in the Alexandria database.

Calculated values
As for the density of states at the Fermi level: 10.45 states/eV per cell. For the total moment, the calculation gives 0.00 Bohr magnetons per cell. The calculation puts the energy of formation at 15 meV per atom.

a = 5.153 Å, b = 5.188 Å, c = 10.076 Å
α = 90.00°, β = 90.00°, γ = 90.00°
Space group Pmmm (No. 47)
Symmetry-distinct sites (fractional):
Tb1 0.000 0.000 0.000
Pr1 0.000 0.500 0.250
Pr2 0.500 0.000 0.250
Dy1 0.500 0.500 0.500
Ho1 0.000 0.000 0.500
Ho2 0.500 0.500 0.000